Record 1
Below is crystalline BaCoAgTe3 at its relaxed geometry, with properties calculated at the PBE-GGA level.

- Offset from the most stable computed form: 0 meV per atom
- Total magnetization: 0.0 μB/cell
- Symmetry: P2_1/m, No. 11

Lattice parameters (Å, degrees): 8.111 4.230 9.992 90.00 107.36 90.00
Sites, in units of the cell vectors:
Co 0.835 0.750 0.360
Co 0.165 0.250 0.640
Ba 0.272 0.750 0.219
Ba 0.728 0.250 0.781
Te 0.205 0.250 0.926
Te 0.967 0.750 0.621
Te 0.630 0.250 0.388
Te 0.370 0.750 0.612
Te 0.795 0.750 0.074
Te 0.033 0.250 0.379
Ag 0.430 0.750 0.903
Ag 0.570 0.250 0.097


Record 2
Below is crystalline HoCo2As at its relaxed geometry, with properties calculated at the PBE-GGA level.

- Offset from the most stable computed form: 0 meV per atom
- Total magnetization: 0.8 μB/cell
- Symmetry: P2_1/m, No. 11

Lattice parameters (Å, degrees): 5.501 4.019 5.688 90.00 90.07 90.00
Site moments in Bohr magnetons follow the coordinates.
Sites, in units of the cell vectors:
Co 0.525 0.750 0.366  -0.19
Co 0.024 0.250 0.635  -0.19
Co 0.475 0.250 0.634  -0.19
Co 0.976 0.750 0.365  -0.19
As 0.250 0.750 0.687  -0.01
As 0.750 0.250 0.313  -0.01
Ho 0.250 0.250 0.118  0.00
Ho 0.750 0.750 0.882  0.00


Record 3
Below is crystalline LaMgTcTe at its relaxed geometry, with properties calculated at the PBE-GGA level.

- Offset from the most stable computed form: 103 meV per atom
- Total magnetization: 1.2 μB/cell
- Symmetry: F-43m, No. 216

Lattice parameters (Å, degrees): 5.111 5.111 5.111 60.00 60.00 60.00
Sites, in units of the cell vectors:
Tc 0.000 0.000 0.000
La 0.250 0.250 0.250
Mg 0.750 0.750 0.750
Te 0.500 0.500 0.500